[1]
An optimized crystal structure of Tm4NiSn, computed with PBE.

Computed properties:
* V: 25.2 A^3/atom
* total magnetic moment: 0.00 μB/atom

a = 5.437 Å, b = 6.793 Å, c = 8.359 Å
α = 90.00°, β = 101.80°, γ = 90.00°
Space group P2_1/m (No. 11)
Unique sites:
Tm1 0.131 0.250 0.056 x2
Tm2 0.214 0.750 0.361 x2
Tm3 0.335 0.508 0.772 x4
Ni1 0.353 0.750 0.049 x2
Sn1 0.224 0.250 0.429 x2

***

[2]
An optimized crystal structure of La12Zn6Os, computed with PBE.

Computed properties:
* V: 31.0 A^3/atom
* total magnetic moment: 0.00 μB/atom

a = 12.2513 Å, b = 12.2513 Å, c = 13.6048 Å
α = 90.00°, β = 90.00°, γ = 120.00°
Space group R-3 (No. 148, hexagonal axes)
Unique sites:
La1 0.0410 0.8442 0.3881 x18
La2 0.0421 0.1981 0.8746 x18
Zn1 0.0052 0.6002 0.2577 x18
Os1 0.0000 0.0000 0.0000 x3

***

[3]
An optimized crystal structure of Na2TaTlS4, computed with PBE.

Computed properties:
* raw formation energy: -979.7 meV/atom
* V: 28.1 A^3/atom
* total magnetic moment: 0.00 μB/atom

a = 9.947 Å, b = 10.476 Å, c = 8.620 Å
α = 90.00°, β = 90.00°, γ = 90.00°
Space group Fmm2 (No. 42)
Unique sites:
Na1 0.250 0.250 0.000 x8
Ta1 0.000 0.000 0.221 x4
Tl1 0.000 0.000 0.765 x4
S1 0.000 0.184 0.364 x8
S2 0.185 0.000 0.062 x8

***

[4]
An optimized crystal structure of CeCoAsH2, computed with PBE.

Computed properties:
* V: 12.1 A^3/atom
* total magnetic moment: 0.33 μB/atom

a = 3.927 Å, b = 10.368 Å, c = 5.964 Å
α = 90.00°, β = 90.00°, γ = 90.00°
Space group Cmcm (No. 63)
Unique sites:
Ce1 0.000 0.211 0.250 x4
Co1 0.000 0.500 0.000 x4
As1 0.000 0.070 0.750 x4
H1 0.000 0.346 0.563 x8

***

[5]
An optimized crystal structure of Pu4SbAu3, computed with PBE.

Computed properties:
* raw formation energy: -430.4 meV/atom
* V: 24.3 A^3/atom
* total magnetic moment: 0.00 μB/atom

a = 5.597 Å, b = 5.597 Å, c = 6.218 Å
α = 90.00°, β = 90.00°, γ = 90.00°
Space group P4/mmm (No. 123)
Unique sites:
Pu1 0.000 0.500 0.248 x4
Sb1 0.000 0.000 0.500 x1
Au1 0.000 0.000 0.000 x1
Au2 0.500 0.500 0.000 x1
Au3 0.500 0.500 0.500 x1

***

[6]
An optimized crystal structure of SrAlI, computed with PBE.

Computed properties:
* raw formation energy: -921.9 meV/atom
* V: 38.7 A^3/atom
* total magnetic moment: 0.00 μB/atom

a = 4.580 Å, b = 4.580 Å, c = 13.020 Å
α = 80.60°, β = 80.09°, γ = 60.00°
Space group P1 (No. 1)
Unique sites:
Sr1 0.000 0.000 0.000 x1
Sr2 0.129 0.110 0.624 x1
Al1 0.398 0.389 0.812 x1
Al2 0.731 0.722 0.812 x1
I1 0.615 0.622 0.152 x1
I2 0.848 0.821 0.472 x1

***

[7]
An optimized crystal structure of Rb2MgTaI, computed with PBE.

Computed properties:
* raw formation energy: 1212.3 meV/atom
* V: 58.8 A^3/atom
* total magnetic moment: 0.79 μB/atom

a = 7.101 Å, b = 7.101 Å, c = 5.827 Å
α = 90.00°, β = 90.00°, γ = 90.00°
Space group P4/mmm (No. 123)
Unique sites:
Rb1 0.000 0.500 0.000 x2
Mg1 0.000 0.000 0.000 x1
Ta1 0.500 0.500 0.500 x1
I1 0.000 0.000 0.500 x1

***

[8]
An optimized crystal structure of La5SmSc2, computed with PBE.

Computed properties:
* V: 33.8 A^3/atom
* total magnetic moment: 0.00 μB/atom

a = 5.468 Å, b = 11.900 Å, c = 16.607 Å
α = 90.00°, β = 90.00°, γ = 90.00°
Space group Cmcm (No. 63)
Unique sites:
La1 0.000 0.018 0.250 x4
La2 0.000 0.146 0.536 x8
La3 0.000 0.454 0.601 x8
Sm1 0.000 0.256 0.750 x4
Sc1 0.000 0.269 0.150 x8

***

[9]
An optimized crystal structure of Pr4H2N3, computed with PBE.

Computed properties:
* V: 18.7 A^3/atom
* total magnetic moment: 0.00 μB/atom

a = 12.360 Å, b = 3.648 Å, c = 9.452 Å
α = 90.00°, β = 127.96°, γ = 90.00°
Space group C2/m (No. 12)
Unique sites:
Pr1 0.088 0.000 0.390 x4
Pr2 0.241 0.500 0.796 x4
H1 0.151 0.000 0.883 x4
N1 0.000 0.500 0.500 x2
N2 0.195 0.500 0.309 x4

***

[10]
An optimized crystal structure of Li7Mg2In, computed with PBE.

Computed properties:
* V: 19.8 A^3/atom
* total magnetic moment: 0.00 μB/atom

a = 4.8002 Å, b = 4.8002 Å, c = 9.9460 Å
α = 90.00°, β = 90.00°, γ = 120.00°
Space group P3m1 (No. 156)
Unique sites:
Li1 0.0000 0.0000 0.0000 x1
Li2 0.0000 0.0000 0.2286 x1
Li3 0.0000 0.0000 0.4700 x1
Li4 0.3333 0.6667 0.2707 x1
Li5 0.3333 0.6667 0.9722 x1
Li6 0.6667 0.3333 0.4512 x1
Li7 0.6667 0.3333 0.8199 x1
Mg1 0.0000 0.0000 0.7336 x1
Mg2 0.3333 0.6667 0.6090 x1
In1 0.6667 0.3333 0.1319 x1

***

[11]
An optimized crystal structure of ScCuNi, computed with PBE.

Computed properties:
* V: 14.4 A^3/atom
* total magnetic moment: 0.00 μB/atom

a = 4.924 Å, b = 5.033 Å, c = 6.980 Å
α = 90.00°, β = 90.00°, γ = 90.00°
Space group Imma (No. 74)
Unique sites:
Sc1 0.000 0.250 0.127 x4
Cu1 0.250 0.250 0.750 x4
Ni1 0.000 0.000 0.500 x4

***

[12]
An optimized crystal structure of BeHgTe2I, computed with PBE.

Computed properties:
* raw formation energy: 317.8 meV/atom
* V: 27.9 A^3/atom
* total magnetic moment: 0.00 μB/atom

a = 5.133 Å, b = 5.133 Å, c = 5.293 Å
α = 90.00°, β = 90.00°, γ = 90.00°
Space group P4/mmm (No. 123)
Unique sites:
Be1 0.000 0.000 0.000 x1
Hg1 0.500 0.500 0.500 x1
Te1 0.000 0.500 0.000 x2
I1 0.000 0.000 0.500 x1

***

[13]
An optimized crystal structure of AcGdZnPt, computed with PBE.

Computed properties:
* V: 25.5 A^3/atom
* total magnetic moment: 1.77 μB/atom

a = 7.417 Å, b = 7.417 Å, c = 7.417 Å
α = 90.00°, β = 90.00°, γ = 90.00°
Space group F-43m (No. 216)
Unique sites:
Ac1 0.000 0.000 0.000 x4
Gd1 0.000 0.000 0.500 x4
Zn1 0.250 0.250 0.250 x4
Pt1 0.250 0.250 0.750 x4

***

[14]
An optimized crystal structure of Sc5Ga2Hg, computed with PBE.

Computed properties:
* V: 21.7 A^3/atom
* total magnetic moment: 0.00 μB/atom

a = 7.180 Å, b = 7.180 Å, c = 13.465 Å
α = 90.00°, β = 90.00°, γ = 90.00°
Space group I4/mcm (No. 140)
Unique sites:
Sc1 0.000 0.000 0.000 x4
Sc2 0.168 0.332 0.145 x16
Ga1 0.128 0.372 0.500 x8
Hg1 0.000 0.000 0.250 x4

***

[15]
An optimized crystal structure of LiUSi4, computed with PBE.

Computed properties:
* raw formation energy: -83.1 meV/atom
* V: 16.1 A^3/atom
* total magnetic moment: 0.43 μB/atom

a = 7.287 Å, b = 7.287 Å, c = 7.287 Å
α = 90.00°, β = 90.00°, γ = 90.00°
Space group F-43m (No. 216)
Unique sites:
Li1 0.000 0.000 0.000 x4
U1 0.250 0.250 0.250 x4
Si1 0.127 0.127 0.627 x16

***

[16]
An optimized crystal structure of ZrTeN2O, computed with PBE.

Computed properties:
* raw formation energy: -18.1 meV/atom
* V: 15.2 A^3/atom
* total magnetic moment: 0.00 μB/atom

a = 4.359 Å, b = 4.359 Å, c = 4.013 Å
α = 90.00°, β = 90.00°, γ = 90.00°
Space group P4/mmm (No. 123)
Unique sites:
Zr1 0.000 0.000 0.000 x1
Te1 0.500 0.500 0.500 x1
N1 0.000 0.500 0.000 x2
O1 0.000 0.000 0.500 x1

***

[17]
An optimized crystal structure of SrCoPt2, computed with PBE.

Computed properties:
* V: 19.4 A^3/atom
* total magnetic moment: 0.57 μB/atom

a = 3.689 Å, b = 4.980 Å, c = 8.432 Å
α = 90.00°, β = 90.00°, γ = 90.00°
Space group Immm (No. 71)
Unique sites:
Sr1 0.000 0.000 0.000 x2
Co1 0.000 0.000 0.500 x2
Pt1 0.000 0.500 0.207 x4

***

[18]
An optimized crystal structure of VSnOs2S, computed with PBE.

Computed properties:
* raw formation energy: 1121.0 meV/atom
* V: 18.7 A^3/atom
* total magnetic moment: 0.00 μB/atom

a = 4.658 Å, b = 4.658 Å, c = 4.306 Å
α = 90.00°, β = 90.00°, γ = 90.00°
Space group P4/mmm (No. 123)
Unique sites:
V1 0.000 0.000 0.000 x1
Sn1 0.500 0.500 0.500 x1
Os1 0.000 0.500 0.000 x2
S1 0.000 0.000 0.500 x1

***

[19]
An optimized crystal structure of Tc5H12Pd3, computed with PBE.

Computed properties:
* V: 8.0 A^3/atom
* total magnetic moment: 0.12 μB/atom

a = 10.880 Å, b = 10.880 Å, c = 10.880 Å
α = 90.00°, β = 90.00°, γ = 90.00°
Space group Ia-3d (No. 230)
Unique sites:
Tc1 0.000 0.000 0.000 x16
Tc2 0.000 0.250 0.375 x24
H1 0.023 0.076 0.648 x96
Pd1 0.000 0.250 0.125 x24

***

[20]
An optimized crystal structure of YAgC3, computed with PBE.

Computed properties:
* V: 18.6 A^3/atom
* total magnetic moment: 0.00 μB/atom

a = 4.533 Å, b = 4.533 Å, c = 4.533 Å
α = 90.00°, β = 90.00°, γ = 90.00°
Space group Pm-3m (No. 221)
Unique sites:
Y1 0.000 0.000 0.000 x1
Ag1 0.500 0.500 0.500 x1
C1 0.000 0.000 0.500 x3

***

Uncorrected energy? In order: -5.04; -4.22; -5.15; -5.46; -9.34; -3.25; -2.17; -5.14; -6.61; -1.98; -5.77; -2.05; -7.02; -5.22; -5.90; -6.68; -5.20; -6.82; -5.09; -4.62 eV per atom.